Model a:
Ca3VAs: optimized geometry, PBE-GGA.

As for the crystal system: cubic.

It has space group Pm-3m (No. 221), with a = 5.589 Å, b = 5.589 Å, c = 5.589 Å, α = 90.00°, β = 90.00° and γ = 90.00°. The inequivalent atoms are Ca at (0.000, 0.000, 0.500), V at (0.000, 0.000, 0.000) and As at (0.500, 0.500, 0.500).

---

Model b:
Ca3VAs: optimized geometry, PBE-GGA.

As for the crystal system: cubic.

It has space group Pm-3m (No. 221), with a = 5.588 Å, b = 5.588 Å, c = 5.588 Å, α = 90.00°, β = 90.00° and γ = 90.00°. The inequivalent atoms are Ca at (0.000, 0.000, 0.500), V at (0.500, 0.500, 0.500) and As at (0.000, 0.000, 0.000).

---

What are the relative energies? In meV per atom: model a 577; model b 0.